Crystalline GdPd2Rh at its relaxed geometry. Source: the Alexandria database, functional PBE-GGA.

Calculated values
* energy of formation from the pure elements: -0.6496 eV/atom

abc: 4.1392 4.1143 4.1143
angles: 90.00 90.00 90.00
Closest atoms and distances in Å follow each position.
Fractional positions:
Gd1 0.5000 0.5000 0.5000  4 Rh 2.91, 8 Pd 2.92
Rh1 0.5000 0.0000 0.0000  4 Gd 2.91, 8 Pd 2.92
Pd1 0.0000 0.0000 0.5000  4 Pd 2.91, 4 Gd 2.92, 4 Rh 2.92
Pd2 0.0000 0.5000 0.0000  4 Pd 2.91, 4 Rh 2.92, 4 Gd 2.92


Crystalline Gd2PdRh at its relaxed geometry. Source: the Alexandria database, functional PBE-GGA.

Calculated values
* energy of formation from the pure elements: -0.8317 eV/atom

abc: 3.4983 3.4983 7.0237
angles: 90.00 90.00 90.00
Closest atoms and distances in Å follow each position.
Fractional positions:
Gd1 0.0000 0.0000 0.7407  4 Rh 3.00, 4 Pd 3.07
Gd2 0.0000 0.0000 0.2593  4 Rh 3.00, 4 Pd 3.07
Rh1 0.5000 0.5000 0.5000  8 Gd 3.00
Pd1 0.5000 0.5000 0.0000  8 Gd 3.07


Crystalline GdSnPdRh at its relaxed geometry. Source: the Alexandria database, functional PBE-GGA.

Calculated values
* energy of formation from the pure elements: -0.7639 eV/atom

abc: 4.7825 4.7825 4.7825
angles: 60.00 60.00 60.00
Closest atoms and distances in Å follow each position.
Fractional positions:
Gd1 0.7500 0.7500 0.7500  4 Pd 2.93, 4 Rh 2.93
Rh1 0.0000 0.0000 0.0000  4 Gd 2.93, 4 Sn 2.93
Sn1 0.2500 0.2500 0.2500  4 Rh 2.93, 4 Pd 2.93
Pd1 0.5000 0.5000 0.5000  4 Gd 2.93, 4 Sn 2.93


Crystalline TbGdPdRh at its relaxed geometry. Source: the Alexandria database, functional PBE-GGA.

Calculated values
* energy of formation from the pure elements: -0.8368 eV/atom

abc: 4.9373 4.9373 4.9373
angles: 60.00 60.00 60.00
Closest atoms and distances in Å follow each position.
Fractional positions:
Rh1 0.5000 0.5000 0.5000  4 Gd 3.02, 4 Tb 3.02
Gd1 0.7500 0.7500 0.7500  4 Rh 3.02, 4 Pd 3.02
Tb1 0.2500 0.2500 0.2500  4 Rh 3.02, 4 Pd 3.02
Pd1 0.0000 0.0000 0.0000  4 Gd 3.02, 4 Tb 3.02


Crystalline GdThPdRh at its relaxed geometry. Source: the Alexandria database, functional PBE-GGA.

Calculated values
* energy of formation from the pure elements: -0.7477 eV/atom

abc: 5.0311 5.0311 5.0311
angles: 60.00 60.00 60.00
Closest atoms and distances in Å follow each position.
Fractional positions:
Gd1 0.2500 0.2500 0.2500  4 Rh 3.08, 4 Pd 3.08
Rh1 0.5000 0.5000 0.5000  4 Gd 3.08, 4 Th 3.08
Pd1 0.0000 0.0000 0.0000  4 Th 3.08, 4 Gd 3.08
Th1 0.7500 0.7500 0.7500  4 Pd 3.08, 4 Rh 3.08


Crystalline GdTiPdRh at its relaxed geometry. Source: the Alexandria database, functional PBE-GGA.

Calculated values
* energy of formation from the pure elements: -0.5541 eV/atom

abc: 4.7062 4.7062 4.7062
angles: 60.00 60.00 60.00
Closest atoms and distances in Å follow each position.
Fractional positions:
Gd1 0.7500 0.7500 0.7500  4 Rh 2.88, 4 Pd 2.88
Rh1 0.0000 0.0000 0.0000  4 Gd 2.88, 4 Ti 2.88
Pd1 0.5000 0.5000 0.5000  4 Gd 2.88, 4 Ti 2.88
Ti1 0.2500 0.2500 0.2500  4 Rh 2.88, 4 Pd 2.88


Crystalline GdTmPdRh at its relaxed geometry. Source: the Alexandria database, functional PBE-GGA.

Calculated values
* energy of formation from the pure elements: -0.8769 eV/atom

abc: 4.8944 4.8944 4.8944
angles: 60.00 60.00 60.00
Closest atoms and distances in Å follow each position.
Fractional positions:
Gd1 0.2500 0.2500 0.2500  4 Rh 3.00, 4 Pd 3.00
Tm1 0.7500 0.7500 0.7500  4 Pd 3.00, 4 Rh 3.00
Rh1 0.0000 0.0000 0.0000  4 Gd 3.00, 4 Tm 3.00
Pd1 0.5000 0.5000 0.5000  4 Tm 3.00, 4 Gd 3.00


Crystalline GdZnPdRh at its relaxed geometry. Source: the Alexandria database, functional PBE-GGA.

Calculated values
* energy of formation from the pure elements: -0.6416 eV/atom

abc: 4.6461 4.6461 4.6461
angles: 60.00 60.00 60.00
Closest atoms and distances in Å follow each position.
Fractional positions:
Zn1 0.0000 0.0000 0.0000  4 Pd 2.85, 4 Rh 2.85
Gd1 0.5000 0.5000 0.5000  4 Rh 2.85, 4 Pd 2.85
Rh1 0.7500 0.7500 0.7500  4 Gd 2.85, 4 Zn 2.85
Pd1 0.2500 0.2500 0.2500  4 Gd 2.85, 4 Zn 2.85


Crystalline GdZrPdRh at its relaxed geometry. Source: the Alexandria database, functional PBE-GGA.

Calculated values
* energy of formation from the pure elements: -0.6723 eV/atom

abc: 4.8257 4.8257 4.8257
angles: 60.00 60.00 60.00
Closest atoms and distances in Å follow each position.
Fractional positions:
Gd1 0.7500 0.7500 0.7500  4 Pd 2.96, 4 Rh 2.96
Rh1 0.0000 0.0000 0.0000  4 Gd 2.96, 4 Zr 2.96
Zr1 0.2500 0.2500 0.2500  4 Rh 2.96, 4 Pd 2.96
Pd1 0.5000 0.5000 0.5000  4 Gd 2.96, 4 Zr 2.96


Crystalline TbGdPdRu at its relaxed geometry. Source: the Alexandria database, functional PBE-GGA.

Calculated values
* energy of formation from the pure elements: -0.5942 eV/atom

abc: 4.9115 4.9115 4.9115
angles: 60.00 60.00 60.00
Closest atoms and distances in Å follow each position.
Fractional positions:
Ru1 0.7500 0.7500 0.7500  4 Tb 3.01, 4 Gd 3.01
Gd1 0.0000 0.0000 0.0000  4 Pd 3.01, 4 Ru 3.01
Tb1 0.5000 0.5000 0.5000  4 Ru 3.01, 4 Pd 3.01
Pd1 0.2500 0.2500 0.2500  4 Gd 3.01, 4 Tb 3.01


Crystalline GdTiPdRu at its relaxed geometry. Source: the Alexandria database, functional PBE-GGA.

Calculated values
* energy of formation from the pure elements: -0.4312 eV/atom

abc: 4.6772 4.6772 4.6772
angles: 60.00 60.00 60.00
Closest atoms and distances in Å follow each position.
Fractional positions:
Ru1 0.5000 0.5000 0.5000  4 Gd 2.86, 4 Ti 2.86
Gd1 0.7500 0.7500 0.7500  4 Ru 2.86, 4 Pd 2.86
Pd1 0.0000 0.0000 0.0000  4 Gd 2.86, 4 Ti 2.86
Ti1 0.2500 0.2500 0.2500  4 Ru 2.86, 4 Pd 2.86


Crystalline GdYPdRu at its relaxed geometry. Source: the Alexandria database, functional PBE-GGA.

Calculated values
* energy of formation from the pure elements: -0.5933 eV/atom

abc: 4.9093 4.9093 4.9093
angles: 60.00 60.00 60.00
Closest atoms and distances in Å follow each position.
Fractional positions:
Y1 0.0000 0.0000 0.0000  4 Ru 3.01, 4 Pd 3.01
Ru1 0.7500 0.7500 0.7500  4 Y 3.01, 4 Gd 3.01
Gd1 0.5000 0.5000 0.5000  4 Pd 3.01, 4 Ru 3.01
Pd1 0.2500 0.2500 0.2500  4 Gd 3.01, 4 Y 3.01